## Li2TlTcOs (PBE-GGA)

Data for a geometry-optimized Li2TlTcOs structure.

As for the formation energy: 1655 meV per atom.

abc: 4.380 4.380 5.124
angles: 90.00 90.00 90.00
Space group P4/mmm (No. 123)
Symmetry-distinct sites (fractional):
Li: 0.000 0.500 0.000
Tl: 0.000 0.000 0.000
Tc: 0.000 0.000 0.500
Os: 0.500 0.500 0.500

=====

## LiUTcOs (PBE-GGA)

Data for a geometry-optimized LiUTcOs structure.

As for the formation energy: 86 meV per atom.

abc: 6.375 6.375 6.375
angles: 90.00 90.00 90.00
Space group F-43m (No. 216)
Symmetry-distinct sites (fractional):
Li: 0.000 0.000 0.000
U: 0.000 0.000 0.500
Tc: 0.250 0.250 0.250
Os: 0.250 0.250 0.750

=====

## LiTe2Os (PBE-GGA)

Data for a geometry-optimized LiTe2Os structure.

abc: 3.987 3.987 9.947
angles: 90.00 90.00 90.00
Space group I-4m2 (No. 119)
Symmetry-distinct sites (fractional):
Li: 0.000 0.000 0.000
Te: 0.000 0.000 0.500
Te: 0.000 0.500 0.250
Os: 0.000 0.500 0.750

=====

## Li2TeOs (PBE-GGA)

Data for a geometry-optimized Li2TeOs structure.

abc: 3.848 3.848 8.678
angles: 90.00 90.00 90.00
Space group I4/mmm (No. 139)
Symmetry-distinct sites (fractional):
Li: 0.000 0.500 0.250
Te: 0.000 0.000 0.000
Os: 0.000 0.000 0.500

=====

## LiTeOs4 (PBE-GGA)

Data for a geometry-optimized LiTeOs4 structure.

abc: 7.423 7.423 7.423
angles: 90.00 90.00 90.00
Space group F-43m (No. 216)
Symmetry-distinct sites (fractional):
Li: 0.000 0.000 0.000
Te: 0.250 0.250 0.250
Os: 0.125 0.125 0.625

=====

## LiTe4Os (PBE-GGA)

Data for a geometry-optimized LiTe4Os structure.

abc: 8.902 8.902 8.902
angles: 90.00 90.00 90.00
Space group F-43m (No. 216)
Symmetry-distinct sites (fractional):
Li: 0.000 0.000 0.000
Te: 0.124 0.124 0.376
Os: 0.250 0.250 0.750

=====

## Li2TeOs (PBE-GGA)

Data for a geometry-optimized Li2TeOs structure.

abc: 3.149 5.177 9.379
angles: 90.00 90.00 90.00
Space group Cmm2 (No. 35)
Symmetry-distinct sites (fractional):
Li: 0.000 0.000 0.000
Li: 0.000 0.500 0.272
Te: 0.000 0.000 0.545
Os: 0.000 0.500 0.771

=====

## Li2TeOs (PBE-GGA)

Data for a geometry-optimized Li2TeOs structure.

abc: 7.698 7.698 5.060
angles: 90.00 90.00 90.00
Space group I-42d (No. 122)
Symmetry-distinct sites (fractional):
Li: 0.231 0.250 0.125
Te: 0.000 0.000 0.500
Os: 0.000 0.000 0.000

=====

## Li4TeOs (PBE-GGA)

Data for a geometry-optimized Li4TeOs structure.

abc: 6.905 6.905 6.905
angles: 90.00 90.00 90.00
Space group F-43m (No. 216)
Symmetry-distinct sites (fractional):
Li: 0.121 0.121 0.121
Te: 0.000 0.000 0.500
Os: 0.250 0.250 0.750

=====

## LiTe2Os (PBE-GGA)

Data for a geometry-optimized LiTe2Os structure.

abc: 3.307 4.676 5.031
angles: 90.00 90.00 90.00
Space group Pmmm (No. 47)
Symmetry-distinct sites (fractional):
Li: 0.000 0.000 0.000
Te: 0.500 0.000 0.500
Te: 0.500 0.500 0.000
Os: 0.000 0.500 0.500

=====

## LiTe2Os (PBE-GGA)

Data for a geometry-optimized LiTe2Os structure.

abc: 6.339 6.339 11.605
angles: 90.00 90.00 90.00
Space group I-42d (No. 122)
Symmetry-distinct sites (fractional):
Li: 0.000 0.000 0.000
Te: 0.216 0.250 0.625
Os: 0.000 0.000 0.500

=====

## LiTe3Os (PBE-GGA)

Data for a geometry-optimized LiTe3Os structure.

For the excess energy over the best structure of this formula in the dataset, the calculation gives 67.1 kJ/mol of atoms.

abc: 4.815 4.815 4.815
angles: 90.00 90.00 90.00
Space group Pm-3m (No. 221)
Symmetry-distinct sites (fractional):
Li: 0.000 0.000 0.000
Te: 0.000 0.000 0.500
Os: 0.500 0.500 0.500

=====

## LiTe2Os (PBE-GGA)

Data for a geometry-optimized LiTe2Os structure.

abc: 3.226 4.037 13.358
angles: 90.00 90.00 90.00
Space group Imm2 (No. 44)
Symmetry-distinct sites (fractional):
Li: 0.000 0.000 0.000
Te: 0.000 0.000 0.397
Te: 0.000 0.500 0.162
Os: 0.000 0.500 0.735

=====

## Li2TeOs (PBE-GGA)

Data for a geometry-optimized Li2TeOs structure.

abc: 2.887 4.246 5.390
angles: 90.00 90.00 90.00
Space group Pmmm (No. 47)
Symmetry-distinct sites (fractional):
Li: 0.000 0.000 0.222
Te: 0.500 0.500 0.500
Os: 0.500 0.500 0.000

=====

## LiTe2Os (PBE-GGA)

Data for a geometry-optimized LiTe2Os structure.

abc: 4.689 4.717 7.349
angles: 90.00 90.00 90.00
Space group Cmmm (No. 65)
Symmetry-distinct sites (fractional):
Li: 0.000 0.000 0.000
Te: 0.000 0.500 0.274
Os: 0.000 0.000 0.500

=====

## LiTe2Os (PBE-GGA)

Data for a geometry-optimized LiTe2Os structure.

abc: 3.2211 3.2211 27.8605
angles: 90.00 90.00 120.00
Space group R-3m (No. 166, hexagonal axes)
Symmetry-distinct sites (fractional):
Li: 0.0000 0.0000 0.0000
Te: 0.0000 0.0000 0.4089
Os: 0.0000 0.0000 0.5000

=====

## LiTe2Os (PBE-GGA)

Data for a geometry-optimized LiTe2Os structure.

abc: 3.362 5.129 10.285
angles: 90.00 90.00 90.00
Space group Cmm2 (No. 35)
Symmetry-distinct sites (fractional):
Li: 0.000 0.000 0.000
Te: 0.000 0.000 0.406
Te: 0.000 0.500 0.771
Os: 0.000 0.500 0.210

=====

## Li2TeOs (PBE-GGA)

Data for a geometry-optimized Li2TeOs structure.

abc: 2.931 4.627 5.001
angles: 90.00 90.14 90.00
Space group Pm (No. 6)
Symmetry-distinct sites (fractional):
Li: 0.000 0.000 0.000
Li: 0.004 0.500 0.721
Te: 0.502 0.000 0.470
Os: 0.501 0.500 0.221

=====

## Li2TeOs (PBE-GGA)

Data for a geometry-optimized Li2TeOs structure.

abc: 8.979 3.334 4.642
angles: 90.00 108.47 90.00
Space group Cm (No. 8)
Symmetry-distinct sites (fractional):
Li: 0.000 0.000 0.000
Li: 0.247 0.500 0.162
Te: 0.008 0.500 0.523
Os: 0.241 0.000 0.655

=====

## LiTe2Os (PBE-GGA)

Data for a geometry-optimized LiTe2Os structure.

abc: 3.201 3.972 7.243
angles: 90.00 93.40 90.00
Space group P2/m (No. 10)
Symmetry-distinct sites (fractional):
Li: 0.000 0.000 0.000
Te: 0.415 0.500 0.264
Os: 0.500 0.000 0.500

=====

| no. | final energy (eV/cell) |
| --- | --- |
| 1 | -19.5 |
| 2 | -137.8 |
| 3 | -35.2 |
| 4 | -35.3 |
| 5 | -181.5 |
| 6 | -75.9 |
| 7 | -32.4 |
| 8 | -65.7 |
| 9 | -84.1 |
| 10 | -18.3 |
| 11 | -76.4 |
| 12 | -16.8 |
| 13 | -38.1 |
| 14 | -17.5 |
| 15 | -36.9 |
| 16 | -52.9 |
| 17 | -35.4 |
| 18 | -17.4 |
| 19 | -36.0 |
| 20 | -18.6 |